{"formula": "RbNaPa2Te5", "functional": "PBE", "state": "optimized geometry", "lattice_angstrom": [[-4.235, 4.235, 8.716], [4.235, -4.235, 8.716], [4.235, 4.235, -8.716]], "species": ["Rb", "Rb", "Na", "Na", "Pa", "Pa", "Pa", "Pa", "Te", "Te", "Te", "Te", "Te", "Te", "Te", "Te", "Te", "Te"], "fractional_positions": [[0.250, 0.250, 0.000], [0.750, 0.750, 0.000], [0.250, 0.750, 0.500], [0.750, 0.250, 0.500], [0.151, 0.651, 0.803], [0.349, 0.151, 0.500], [0.651, 0.849, 0.500], [0.849, 0.349, 0.197], [0.000, 0.000, 0.000], [0.036, 0.234, 0.500], [0.234, 0.734, 0.198], [0.266, 0.464, 0.500], [0.464, 0.964, 0.198], [0.500, 0.500, 0.000], [0.536, 0.036, 0.802], [0.734, 0.536, 0.500], [0.766, 0.266, 0.802], [0.964, 0.766, 0.500]], "volume_a3_per_atom": 34.7, "dos_ef_per_ev_fu": 7.25, "dft_energy_ev_per_atom": -5.0238, "total_magnetization_mub_per_fu": 2.00, "e_form_raw_mev_per_atom": -914}